Record 1
This record from Alexandria via LeMat-Bulk describes NiAgOs after structural relaxation. The functional is PBE.

Structure (POSCAR):
```
NiAgOs
1.0
0.0000 2.8883 2.8883
2.8883 0.0000 2.8883
2.8883 2.8883 0.0000
Ni Ag Os
1 1 1
direct
0.0000 0.0000 0.0000
0.7500 0.7500 0.7500
0.2500 0.2500 0.2500
```

## Properties
**Excess energy over the best structure of this formula in the dataset**: 645.1 meV/atom
**Density**: 12294 kg/m3

***

Record 2
This record from Alexandria via LeMat-Bulk describes NiAgOs after structural relaxation. The functional is PBE.

Structure (POSCAR):
```
NiAgOs
1.0
2.7188 0.0000 0.0000
-1.3594 2.3546 0.0000
0.0000 0.0000 6.7437
Ni Ag Os
1 1 1
direct
0.0000 0.0000 0.0000
0.6667 0.3333 0.6630
0.3333 0.6667 0.2913
```

## Properties
**Excess energy over the best structure of this formula in the dataset**: 0.0 meV/atom
**Density**: 13724 kg/m3

***

Record 3
This record from Alexandria via LeMat-Bulk describes NiAgOs after structural relaxation. The functional is PBE.

Structure (POSCAR):
```
NiAgOs
1.0
-1.3403 1.3403 6.0052
1.3403 -1.3403 6.0052
1.3403 1.3403 -6.0052
Ni Ag Os
1 1 1
direct
0.0000 0.0000 0.0000
0.3278 0.3278 0.0000
0.6387 0.6387 0.0000
```

## Properties
**Excess energy over the best structure of this formula in the dataset**: 54.6 meV/atom
**Density**: 13730 kg/m3

***

Record 4
This record from Alexandria via LeMat-Bulk describes Ni2AgOsPt after structural relaxation. The functional is PBE.

Structure (POSCAR):
```
Ni2AgOsPt
1.0
4.5257 0.0000 0.0000
0.0000 4.5257 0.0000
0.0000 0.0000 4.9676
Ni Ag Os Pt
2 1 1 1
direct
0.0000 0.5000 0.0000
0.5000 0.0000 0.0000
0.0000 0.0000 0.5000
0.5000 0.5000 0.5000
0.0000 0.0000 0.0000
```

## Properties
**Density**: 9965 kg/m3

***

no.,total magnetization (μB per formula unit),VASP energy (Ry/atom),E_form (eV/f.u.)
1,1.3,-0.4134,3.0
2,0.0,-0.4608,1.1
3,0.0,-0.4568,1.2
4,5.0,-0.3271,9.4